Density functional theory data (PBE with a Hubbard U) for an optimized crystal structure of AlZnMoO2.

The calculated total energy comes out at -3.96 eV per atom.

It has space group P4/mmm (No. 123), with a = 3.847 Å, b = 3.847 Å, c = 5.162 Å, α = 90.00°, β = 90.00° and γ = 90.00°. Symmetry generates all atoms from Al at (0.000, 0.000, 0.000), Zn at (0.500, 0.500, 0.500), Mo at (0.500, 0.500, 0.000) and O at (0.000, 0.500, 0.500).